[1]
The following is a PBE calculation of a relaxed structure of TcBiP2S, from the Alexandria database.

Computed properties:
ρ ... 6.26 Mg/m³
Polymorph energy (0 for the lowest one) ... 0 meV per atom
DOS(E_F) ... 3.80 states/eV/f.u.

Geometry as CIF:
```
data_TcBiP2S
_symmetry_space_group_name_H-M 'P 4/m m m'
_symmetry_Int_Tables_number 123
_symmetry_space_group_name_Hall '-P 4 2'
_cell_length_a 4.507
_cell_length_b 4.507
_cell_length_c 5.231
_cell_angle_alpha 90.00
_cell_angle_beta 90.00
_cell_angle_gamma 90.00
loop_
_atom_site_label
_atom_site_fract_x
_atom_site_fract_y
_atom_site_fract_z
Tc1 0.000 0.000 0.000
Bi1 0.500 0.500 0.500
P1 0.000 0.500 0.000
S1 0.000 0.000 0.500
```

=====

[2]
The following is a PBE calculation of a relaxed structure of LiCd2In, from the Alexandria database.

Computed properties:
ρ ... 6.68 Mg/m³
Formation energy from the elements ... -3.464 kcal/mol of atoms
DOS(E_F) ... 0.91 states/eV/f.u.

Geometry as CIF:
```
data_LiCd2In
_symmetry_space_group_name_H-M 'I -4 m 2'
_symmetry_Int_Tables_number 119
_symmetry_space_group_name_Hall 'I -4 -2'
_cell_length_a 4.454
_cell_length_b 4.454
_cell_length_c 8.680
_cell_angle_alpha 90.00
_cell_angle_beta 90.00
_cell_angle_gamma 90.00
loop_
_atom_site_label
_atom_site_fract_x
_atom_site_fract_y
_atom_site_fract_z
Li1 0.000 0.000 0.000
Cd1 0.000 0.000 0.500
Cd2 0.000 0.500 0.250
In1 0.000 0.500 0.750
```

=====

[3]
The following is a PBE calculation of a relaxed structure of Pm3SmOs, from the Alexandria database.

Computed properties:
ρ ... 8.05 Mg/m³
Formation energy from the elements ... -2.177 kcal/mol of atoms
Polymorph energy (0 for the lowest one) ... 0 meV per atom
DOS(E_F) ... 4.92 states/eV/f.u.

Geometry as CIF:
```
data_Pm3SmOs
_symmetry_space_group_name_H-M 'C 1 2/m 1'
_symmetry_Int_Tables_number 12
_cell_length_a 12.085
_cell_length_b 8.760
_cell_length_c 8.357
_cell_angle_alpha 90.00
_cell_angle_beta 133.67
_cell_angle_gamma 90.00
loop_
_symmetry_equiv_pos_as_xyz
'x,y,z'
'-x,-y,-z'
'-x,y,-z'
'x,-y,z'
'x+1/2,y+1/2,z'
'-x+1/2,-y+1/2,-z'
'-x+1/2,y+1/2,-z'
'x+1/2,-y+1/2,z'
loop_
_atom_site_label
_atom_site_fract_x
_atom_site_fract_y
_atom_site_fract_z
Pm1 0.053 0.000 0.349
Pm2 0.249 0.303 0.796
Sm1 0.053 0.500 0.254
Os1 0.250 0.000 0.873
```

=====

[4]
The following is a PBE calculation of a relaxed structure of ZnAg2Os, from the Alexandria database.

Computed properties:
ρ ... 12.40 Mg/m³
Formation energy from the elements ... 7.232 kcal/mol of atoms
DOS(E_F) ... 1.12 states/eV/f.u.

Geometry as CIF:
```
data_ZnAg2Os
_symmetry_space_group_name_H-M 'R -3 m'
_symmetry_Int_Tables_number 166
_symmetry_space_group_name_Hall '-R 3 2"'
_cell_length_a 2.7738
_cell_length_b 2.7738
_cell_length_c 28.4308
_cell_angle_alpha 90.00
_cell_angle_beta 90.00
_cell_angle_gamma 120.00
loop_
_atom_site_label
_atom_site_fract_x
_atom_site_fract_y
_atom_site_fract_z
Zn1 0.0000 0.0000 0.0000
Ag1 0.0000 0.0000 0.2521
Os1 0.0000 0.0000 0.5000
```